Compound: Li3ZnPb2
Source: the Alexandria database
Functional: PBE
Structure: optimized geometry

Cell and atoms, written as extended XYZ:
```
12
Lattice="5.158 0.000 -1.867 0.000 6.238 0.000 -0.028 0.000 7.983" Properties=species:S:1:pos:R:3 pbc="T T T"
Li 3.476 1.560 1.464
Li 1.654 4.679 4.652
Li 1.706 1.560 4.633
Li 3.424 4.679 1.483
Li 1.250 1.560 -0.452
Li 3.908 4.679 -1.414
Zn 3.746 1.560 -1.356
Zn 1.412 4.679 -0.511
Pb 4.351 0.000 3.962
Pb 0.779 3.119 2.154
Pb 0.779 0.000 2.154
Pb 4.351 3.119 3.962
```

The calculation puts the calculated formation energy at -81 kJ/mol of formula units. Its symmetry is Cmcm. The relative energy among the computed polymorphs is 56 meV per atom. The value obtained for the density of states at the Fermi level is 5.03 states/eV/cell.